This record from Alexandria via LeMat-Bulk describes a relaxed Pm3Ho6Tm2Sc crystal. The functional is PBE.

Unit cell a=6.1216 b=10.5953 c=11.6759 alpha=90.00 beta=100.04 gamma=90.00
Space group C2/m (No. 12)
Asymmetric unit:
Pm 0.0000 0.0000 0.0000 [2 per cell]
Pm 0.0000 0.3334 0.0000 [4 per cell]
Ho 0.2462 0.3344 0.7434 [8 per cell]
Ho 0.2495 0.0000 0.7436 [4 per cell]
Tm 0.0000 0.1665 0.5000 [4 per cell]
Sc 0.0000 0.5000 0.5000 [2 per cell]

**Energy of formation**: 0.031 eV/atom
**V**: 31.07 Å³/atom
**Final energy**: -4.719 eV/atom


This record from Alexandria via LeMat-Bulk describes a relaxed LaSiPb4 crystal. The functional is PBE.

Unit cell a=9.0467 b=9.0467 c=9.0467 alpha=90.00 beta=90.00 gamma=90.00
Space group F-43m (No. 216)
Asymmetric unit:
La 0.0000 0.0000 0.0000 [4 per cell]
Si 0.2500 0.2500 0.2500 [4 per cell]
Pb 0.1245 0.1245 0.6245 [16 per cell]

**V**: 30.85 Å³/atom
**Raw formation energy**: 0.193 eV/atom
**Final energy**: -4.005 eV/atom


This record from Alexandria via LeMat-Bulk describes a relaxed Cr2NiTe crystal. The functional is PBE.

Unit cell a=3.0291 b=3.6994 c=5.3374 alpha=90.00 beta=96.85 gamma=90.00
Space group P2/m (No. 10)
Asymmetric unit:
Cr 0.0452 0.0000 0.1885 [2 per cell]
Ni 0.5000 0.5000 0.0000 [1 per cell]
Te 0.5000 0.5000 0.5000 [1 per cell]

**V**: 14.85 Å³/atom
**Raw formation energy**: 0.443 eV/atom
**Final energy**: -6.599 eV/atom


This record from Alexandria via LeMat-Bulk describes a relaxed Sc3Al9Rh2 crystal. The functional is PBE.

Unit cell a=4.2038 b=9.5912 c=11.8620 alpha=90.00 beta=90.00 gamma=90.00
Space group Immm (No. 71)
Asymmetric unit:
Sc 0.0000 0.0000 0.0000 [2 per cell]
Sc 0.0000 0.0000 0.2906 [4 per cell]
Al 0.0000 0.2869 0.1366 [8 per cell]
Al 0.0000 0.3658 0.3571 [8 per cell]
Al 0.0000 0.5000 0.0000 [2 per cell]
Rh 0.0000 0.1673 0.5000 [4 per cell]

**Energy of formation**: -0.628 eV/atom
**V**: 17.08 Å³/atom
**Final energy**: -5.441 eV/atom


This record from Alexandria via LeMat-Bulk describes a relaxed Ca3Pr3CdSe8 crystal. The functional is PBE.

Unit cell a=8.4340 b=8.4340 c=20.7581 alpha=90.00 beta=90.00 gamma=120.00
Space group R-3m (No. 166, hexagonal axes)
Asymmetric unit:
Ca 0.0000 0.5000 0.0000 [9 per cell]
Pr 0.0000 0.5000 0.5000 [9 per cell]
Cd 0.0000 0.0000 0.5000 [3 per cell]
Se 0.0000 0.0000 0.2519 [6 per cell]
Se 0.0081 0.5041 0.2486 [18 per cell]

**V**: 28.42 Å³/atom
**Raw formation energy**: -1.711 eV/atom
**Final energy**: -4.987 eV/atom


This record from Alexandria via LeMat-Bulk describes a relaxed Ce3NiRu crystal. The functional is PBE.

Unit cell a=3.6954 b=7.6025 c=7.7153 alpha=92.27 beta=90.19 gamma=90.32
Space group P-1 (No. 2)
Asymmetric unit:
Ce 0.2461 0.2039 0.0159 [2 per cell]
Ce 0.2506 0.9846 0.6611 [2 per cell]
Ce 0.2518 0.6314 0.3394 [2 per cell]
Ni 0.2496 0.2791 0.3783 [2 per cell]
Ru 0.2508 0.5803 0.8600 [2 per cell]

**Energy of formation**: -0.206 eV/atom
**V**: 21.66 Å³/atom
**Final energy**: -6.778 eV/atom


This record from Alexandria via LeMat-Bulk describes a relaxed Ti2MnBe crystal. The functional is PBE.

Unit cell a=3.0025 b=3.0025 c=5.7716 alpha=90.00 beta=90.00 gamma=90.00
Space group P4/mmm (No. 123)
Asymmetric unit:
Ti 0.0000 0.0000 0.2462 [2 per cell]
Mn 0.5000 0.5000 0.0000 [1 per cell]
Be 0.5000 0.5000 0.5000 [1 per cell]

**Energy of formation**: -0.223 eV/atom
**V**: 13.01 Å³/atom
**Final energy**: -7.394 eV/atom


This record from Alexandria via LeMat-Bulk describes a relaxed NdSmYHo2 crystal. The functional is PBE.

Unit cell a=8.3961 b=11.5653 c=7.2010 alpha=90.00 beta=90.00 gamma=90.00
Space group Cmcm (No. 63)
Asymmetric unit:
Nd 0.0000 0.2213 0.2500 [4 per cell]
Sm 0.0000 0.4874 0.2500 [4 per cell]
Y 0.0000 0.2290 0.7500 [4 per cell]
Ho 0.1881 0.0000 0.0000 [8 per cell]

**Energy of formation**: 0.379 eV/atom
**V**: 34.96 Å³/atom
**Final energy**: -4.643 eV/atom


This record from Alexandria via LeMat-Bulk describes a relaxed NbPdAu crystal. The functional is PBE.

Unit cell a=5.0273 b=2.9566 c=7.1471 alpha=90.00 beta=103.73 gamma=90.00
Space group Cm (No. 8)
Asymmetric unit:
Nb 0.0000 0.0000 0.0000 [2 per cell]
Pd 0.0565 0.5000 0.6864 [2 per cell]
Au 0.2756 0.5000 0.3409 [2 per cell]

**Energy of formation**: -0.149 eV/atom
**V**: 17.20 Å³/atom
**Final energy**: -6.329 eV/atom
**Offset from the most stable computed form**: 158.8 meV/atom


This record from Alexandria via LeMat-Bulk describes a relaxed V6SiH crystal. The functional is PBE.

Unit cell a=4.6201 b=5.2069 c=5.3217 alpha=67.46 beta=67.78 gamma=63.81
Space group P-1 (No. 2)
Asymmetric unit:
V 0.0222 0.2347 0.2156 [2 per cell]
V 0.3191 0.0494 0.7470 [2 per cell]
V 0.4571 0.6117 0.1808 [2 per cell]
Si 0.0000 0.5000 0.5000 [1 per cell]
H 0.5000 0.0000 0.0000 [1 per cell]

**V**: 12.83 Å³/atom
**Final energy**: -7.769 eV/atom


This record from Alexandria via LeMat-Bulk describes a relaxed K2YRu crystal. The functional is PBE.

Unit cell a=4.2261 b=4.2261 c=26.1861 alpha=90.00 beta=90.00 gamma=90.00
Space group I-42d (No. 122)
Asymmetric unit:
K 0.2398 0.2500 0.1250 [8 per cell]
Y 0.0000 0.0000 0.5000 [4 per cell]
Ru 0.0000 0.0000 0.0000 [4 per cell]

**Energy of formation**: 0.830 eV/atom
**V**: 29.23 Å³/atom
**Final energy**: -3.654 eV/atom
**Offset from the most stable computed form**: 513.7 meV/atom


This record from Alexandria via LeMat-Bulk describes a relaxed Dy2MgPb crystal. The functional is PBE.

Unit cell a=3.9183 b=3.9183 c=7.1464 alpha=90.00 beta=90.00 gamma=90.00
Space group P4/mmm (No. 123)
Asymmetric unit:
Dy 0.0000 0.0000 0.2472 [2 per cell]
Mg 0.5000 0.5000 0.0000 [1 per cell]
Pb 0.5000 0.5000 0.5000 [1 per cell]

**Energy of formation**: -0.279 eV/atom
**V**: 27.43 Å³/atom
**Final energy**: -3.905 eV/atom